1.
Below is a geometry-optimized Y2Ga6Au3 structure, with properties calculated at the GGA-PBE level.

Cell: 4.1563 7.8599 7.8599 Å, 120.00 90.00 90.00°
Fractional coordinates of all 11 atoms:
Ga 0.5000 0.0000 0.3032
Au 0.5000 0.0000 0.6242
Ga 0.0000 0.8117 0.0000
Ga 0.5000 0.6968 0.6968
Y 0.0000 0.3333 0.6667
Ga 0.0000 0.1883 0.1883
Y 0.0000 0.6667 0.3333
Ga 0.0000 0.0000 0.8117
Ga 0.5000 0.3032 0.0000
Au 0.5000 0.3758 0.3758
Au 0.5000 0.6242 0.0000

Summary:
Calculated formation energy = -0.525 eV per atom
Final energy = -4.245 eV/atom



2.
Below is a geometry-optimized YGa2Au7 structure, with properties calculated at the GGA-PBE level.

Cell: 4.7103 7.4691 7.4691 Å, 119.40 90.00 90.00°
Fractional coordinates of all 10 atoms:
Y 0.0000 0.0000 0.0000
Au 0.5000 0.0702 0.2999
Au 0.5000 0.7001 0.9298
Au 0.5000 0.2999 0.0702
Au 0.5000 0.5000 0.5000
Au 0.0000 0.7759 0.2241
Au 0.5000 0.9298 0.7001
Ga 0.5000 0.2994 0.7006
Ga 0.5000 0.7006 0.2994
Au 0.0000 0.2241 0.7759

Summary:
Calculated formation energy = -0.232 eV per atom
Final energy = -3.777 eV/atom



3.
Below is a geometry-optimized Y3Ga7Au2 structure, with properties calculated at the GGA-PBE level.

Cell: 4.2286 4.2468 13.7488 Å, 98.83 90.00 90.00°
Fractional coordinates of all 12 atoms:
Ga 0.5000 0.9198 0.8402
Ga 0.0000 0.0000 0.0000
Y 0.5000 0.5000 0.0000
Ga 0.0000 0.5821 0.1593
Y 0.0000 0.8156 0.6306
Y 0.0000 0.1844 0.3694
Ga 0.5000 0.2724 0.5452
Au 0.5000 0.3655 0.7290
Ga 0.0000 0.4179 0.8407
Au 0.5000 0.6345 0.2710
Ga 0.5000 0.0802 0.1598
Ga 0.5000 0.7276 0.4548

Summary:
Calculated formation energy = -0.588 eV per atom
Final energy = -4.516 eV/atom



4.
Below is a geometry-optimized Y2Ga5Au3 structure, with properties calculated at the GGA-PBE level.

Cell: 6.0652 8.6657 8.6657 Å, 78.85 69.52 69.52°
Fractional coordinates of all 20 atoms:
Y 0.3756 0.8705 0.3784
Ga 0.4918 0.7582 0.7582
Ga 0.8795 0.9780 0.2630
Au 0.1303 0.2368 0.5025
Au 0.3697 0.4975 0.7632
Ga 0.9918 0.7582 0.7582
Au 0.2500 0.0000 0.0000
Ga 0.3795 0.2630 0.9780
Au 0.7500 0.0000 0.0000
Ga 0.2500 0.5000 0.5000
Ga 0.6205 0.7370 0.0220
Ga 0.0082 0.2418 0.2418
Y 0.6244 0.1295 0.6216
Y 0.8756 0.3784 0.8705
Ga 0.7500 0.5000 0.5000
Au 0.6303 0.5025 0.2368
Ga 0.5082 0.2418 0.2418
Ga 0.1205 0.0220 0.7370
Y 0.1244 0.6216 0.1295
Au 0.8697 0.7632 0.4975

Summary:
Calculated formation energy = -0.590 eV per atom
Excess energy over the best structure of this formula in the dataset = 16 kJ/mol of formula units
Final energy = -4.379 eV/atom



5.
Below is a geometry-optimized Y2Ga3Au9 structure, with properties calculated at the GGA-PBE level.

Cell: 8.0261 8.0261 10.7423 Å, 90.02 112.07 119.78°
Fractional coordinates of all 28 atoms:
Y 0.3365 0.2486 0.7537
Ga 0.1389 0.8146 0.4948
Au 0.8804 0.8585 0.5712
Ga 0.1802 0.3559 0.9948
Au 0.6825 0.6965 0.7583
Au 0.1101 0.8601 0.2500
Au 0.1294 0.9791 0.9215
Ga 0.5000 0.5000 0.5000
Au 0.4410 0.6395 0.9154
Ga 0.5000 0.0000 0.0000
Au 0.8706 0.0209 0.0785
Au 0.2127 0.6908 0.0712
Au 0.5619 0.0758 0.2583
Ga 0.8611 0.1854 0.5052
Au 0.4424 0.7921 0.4215
Au 0.5576 0.2079 0.5785
Au 0.2242 0.5256 0.5846
Y 0.6635 0.7514 0.2463
Au 0.7873 0.3092 0.9288
Au 0.3175 0.3035 0.2417
Y 0.9949 0.5828 0.7463
Au 0.5590 0.3605 0.0846
Au 0.8899 0.1399 0.7500
Au 0.1196 0.1415 0.4288
Ga 0.8198 0.6441 0.0052
Au 0.7758 0.4744 0.4154
Y 0.0051 0.4172 0.2537
Au 0.4381 0.9242 0.7417

Summary:
Calculated formation energy = -0.492 eV per atom
Final energy = -4.171 eV/atom



6.
Below is a geometry-optimized YGa3Au structure, with properties calculated at the GGA-PBE level.

Cell: 5.4898 5.4898 5.4898 Å, 90.00 90.00 90.00°
Fractional coordinates of all 5 atoms:
Ga 0.5000 0.0000 0.0000
Ga 0.0000 0.0000 0.5000
Ga 0.0000 0.5000 0.0000
Y 0.0000 0.0000 0.0000
Au 0.5000 0.5000 0.5000

Summary:
Calculated formation energy = 0.861 eV per atom
Excess energy over the best structure of this formula in the dataset = 679 kJ/mol of formula units
Final energy = -2.903 eV/atom



7.
Below is a geometry-optimized Y2Ga7Au12 structure, with properties calculated at the GGA-PBE level.

Cell: 4.1037 10.6571 10.6572 Å, 120.00 90.00 90.00°
Fractional coordinates of all 21 atoms:
Au 0.2409 0.9154 0.5458
Au 0.7591 0.0846 0.4542
Au 0.2264 0.1272 0.2594
Ga 0.2693 0.8953 0.2988
Au 0.7591 0.5458 0.6304
Au 0.2264 0.1322 0.8728
Ga 0.7307 0.1047 0.7012
Au 0.7591 0.3696 0.9154
Ga 0.7307 0.5965 0.8953
Ga 0.2693 0.4035 0.1047
Ga 0.2693 0.7012 0.5965
Ga 0.7307 0.2988 0.4035
Au 0.2264 0.7406 0.8678
Y 0.2444 0.3333 0.6667
Au 0.2409 0.4542 0.3696
Ga 0.5000 0.0000 0.0000
Au 0.7736 0.8678 0.1272
Au 0.7736 0.2594 0.1322
Au 0.2409 0.6304 0.0846
Y 0.7556 0.6667 0.3333
Au 0.7736 0.8728 0.7406

Summary:
Calculated formation energy = -0.361 eV per atom
Final energy = -3.859 eV/atom



8.
Below is a geometry-optimized Y2Ga2Au structure, with properties calculated at the GGA-PBE level.

Cell: 3.6795 3.6795 9.1023 Å, 78.34 78.34 90.00°
Fractional coordinates of all 5 atoms:
Y 0.3991 0.3991 0.2019
Ga 0.2500 0.7500 0.5000
Y 0.6009 0.6009 0.7981
Ga 0.7500 0.2500 0.5000
Au 0.0000 0.0000 0.0000

Summary:
Calculated formation energy = -0.437 eV per atom
Excess energy over the best structure of this formula in the dataset = 154 kJ/mol of formula units
Final energy = -4.888 eV/atom



9.
Below is a geometry-optimized YGa2Au2 structure, with properties calculated at the GGA-PBE level.

Cell: 7.6844 7.6844 3.3924 Å, 90.00 90.00 90.00°
Site moments in Bohr magnetons follow the coordinates.
Fractional coordinates of all 10 atoms:
Au 0.8248 0.3248 0.5000  0.02
Ga 0.1241 0.3759 0.0000  0.02
Au 0.6752 0.8248 0.5000  0.02
Au 0.1752 0.6752 0.5000  0.02
Ga 0.8759 0.6241 0.0000  0.02
Ga 0.6241 0.1241 0.0000  0.02
Ga 0.3759 0.8759 0.0000  0.02
Y 0.5000 0.5000 0.0000  0.22
Y 0.0000 0.0000 0.0000  0.21
Au 0.3248 0.1752 0.5000  0.02

Summary:
Calculated formation energy = -0.362 eV per atom
Final energy = -4.176 eV/atom



10.
Below is a geometry-optimized Y2Ga12Au structure, with properties calculated at the GGA-PBE level.

Cell: 6.2068 6.2068 15.3271 Å, 90.00 90.00 90.00°
Fractional coordinates of all 30 atoms:
Y 0.0000 0.5000 0.2493
Ga 0.2498 0.2502 0.9045
Ga 0.6664 0.1664 0.4307
Ga 0.5000 0.5000 0.6525
Ga 0.8336 0.6664 0.4307
Ga 0.0000 0.0000 0.3475
Ga 0.2502 0.7502 0.9045
Ga 0.2498 0.7498 0.0955
Ga 0.6664 0.8336 0.5693
Ga 0.7502 0.2502 0.0955
Ga 0.8336 0.3336 0.5693
Ga 0.1664 0.6664 0.5693
Ga 0.0000 0.0000 0.6525
Ga 0.5000 0.5000 0.3475
Ga 0.7502 0.7498 0.9045
Ga 0.2502 0.2498 0.0955
Ga 0.0000 0.0000 0.1882
Ga 0.3336 0.8336 0.4307
Y 0.5000 0.0000 0.7507
Ga 0.1664 0.3336 0.4307
Y 0.5000 0.0000 0.2493
Ga 0.3336 0.1664 0.5693
Ga 0.7498 0.2498 0.9045
Au 0.5000 0.0000 0.0000
Ga 0.5000 0.5000 0.8118
Au 0.0000 0.5000 0.0000
Y 0.0000 0.5000 0.7507
Ga 0.0000 0.0000 0.8118
Ga 0.7498 0.7502 0.0955
Ga 0.5000 0.5000 0.1882

Summary:
Calculated formation energy = -0.308 eV per atom
Final energy = -3.810 eV/atom



11.
Below is a geometry-optimized Y3Ga7Au4 structure, with properties calculated at the GGA-PBE level.

Cell: 4.3832 8.3578 8.3510 Å, 71.42 74.79 74.80°
Fractional coordinates of all 14 atoms:
Au 0.8638 0.9081 0.3644
Ga 0.0000 0.0000 0.0000
Ga 0.1488 0.6302 0.0722
Ga 0.5045 0.1972 0.7938
Ga 0.3301 0.8002 0.5397
Au 0.3482 0.5216 0.7821
Ga 0.6699 0.1998 0.4603
Au 0.6518 0.4784 0.2179
Y 0.3110 0.1910 0.1870
Y 0.6890 0.8090 0.8130
Ga 0.8512 0.3698 0.9278
Au 0.1362 0.0919 0.6356
Y 0.0000 0.5000 0.5000
Ga 0.4955 0.8028 0.2062

Summary:
Calculated formation energy = -0.623 eV per atom
Final energy = -4.458 eV/atom



12.
Below is a geometry-optimized YGaAu structure, with properties calculated at the GGA-PBE level.

Cell: 4.6695 4.6695 4.6695 Å, 60.00 60.00 60.00°
Fractional coordinates of all 3 atoms:
Y 0.5000 0.5000 0.5000
Ga 0.0000 0.0000 0.0000
Au 0.2500 0.2500 0.2500

Summary:
Calculated formation energy = -0.634 eV per atom
Final energy = -4.891 eV/atom



13.
Below is a geometry-optimized YGaAu3 structure, with properties calculated at the GGA-PBE level.

Cell: 5.5211 5.9211 6.2043 Å, 90.00 97.36 90.00°
Fractional coordinates of all 10 atoms:
Au 0.6843 0.4983 0.8514
Au 0.6591 0.7500 0.4571
Au 0.3157 0.9983 0.1486
Y 0.8135 0.2500 0.3175
Ga 0.9212 0.7500 0.1535
Au 0.3409 0.2500 0.5429
Y 0.1865 0.7500 0.6825
Ga 0.0788 0.2500 0.8465
Au 0.3157 0.5017 0.1486
Au 0.6843 0.0017 0.8514

Summary:
Calculated formation energy = -0.581 eV per atom
Excess energy over the best structure of this formula in the dataset = 8 kJ/mol of formula units
Final energy = -4.445 eV/atom



14.
Below is a geometry-optimized YGaAu3 structure, with properties calculated at the GGA-PBE level.

Cell: 4.8545 4.8545 4.8545 Å, 90.00 90.00 90.00°
Fractional coordinates of all 5 atoms:
Ga 0.0000 0.0000 0.0000
Y 0.5000 0.5000 0.5000
Au 0.5000 0.0000 0.0000
Au 0.0000 0.5000 0.0000
Au 0.0000 0.0000 0.5000

Summary:
Calculated formation energy = -0.233 eV per atom
Excess energy over the best structure of this formula in the dataset = 176 kJ/mol of formula units
Final energy = -4.097 eV/atom



15.
Below is a geometry-optimized YGaAu3 structure, with properties calculated at the GGA-PBE level.

Cell: 5.4847 5.4847 5.4847 Å, 90.00 90.00 90.00°
Fractional coordinates of all 5 atoms:
Ga 0.5000 0.5000 0.5000
Au 0.0000 0.0000 0.5000
Au 0.5000 0.0000 0.0000
Au 0.0000 0.5000 0.0000
Y 0.0000 0.0000 0.0000

Summary:
Calculated formation energy = 0.347 eV per atom
Excess energy over the best structure of this formula in the dataset = 455 kJ/mol of formula units
Final energy = -3.518 eV/atom



16.
Below is a geometry-optimized YGa3Au3 structure, with properties calculated at the GGA-PBE level.

Cell: 4.5507 6.9916 9.5753 Å, 116.32 90.00 90.00°
Fractional coordinates of all 14 atoms:
Au 0.2500 0.7098 0.9556
Au 0.7500 0.9674 0.3813
Ga 0.2500 0.6805 0.6693
Ga 0.2500 0.3048 0.9117
Au 0.2500 0.0326 0.6187
Ga 0.7500 0.3195 0.3307
Ga 0.2500 0.1211 0.1253
Y 0.2500 0.6350 0.2922
Y 0.7500 0.3650 0.7078
Au 0.7500 0.7223 0.5532
Ga 0.7500 0.8789 0.8747
Au 0.7500 0.2902 0.0444
Ga 0.7500 0.6952 0.0883
Au 0.2500 0.2777 0.4468

Summary:
Calculated formation energy = -0.500 eV per atom
Excess energy over the best structure of this formula in the dataset = 0 kJ/mol of formula units
Final energy = -4.126 eV/atom



17.
Below is a geometry-optimized Y3Ga5Au6 structure, with properties calculated at the GGA-PBE level.

Cell: 4.3521 9.5144 13.4489 Å, 90.00 90.00 90.00°
Fractional coordinates of all 28 atoms:
Ga 0.0000 0.7967 0.0000
Au 0.5000 0.0017 0.6544
Y 0.0000 0.2403 0.6774
Y 0.0000 0.2403 0.3226
Ga 0.5000 0.1433 0.1669
Au 0.5000 0.4081 0.1964
Y 0.5000 0.7597 0.1774
Y 0.5000 0.7552 0.5000
Ga 0.0000 0.5472 0.1101
Au 0.5000 0.5061 0.0000
Au 0.0000 0.9983 0.8456
Ga 0.0000 0.5472 0.8899
Ga 0.5000 0.1433 0.8331
Ga 0.5000 0.4528 0.6101
Y 0.5000 0.7597 0.8226
Ga 0.0000 0.8567 0.3331
Au 0.0000 0.5919 0.6964
Ga 0.5000 0.2033 0.5000
Au 0.5000 0.0017 0.3456
Au 0.0000 0.5919 0.3036
Au 0.0000 0.0193 0.5000
Ga 0.5000 0.4528 0.3899
Au 0.0000 0.9983 0.1544
Au 0.0000 0.4939 0.5000
Au 0.5000 0.4081 0.8036
Ga 0.0000 0.8567 0.6669
Y 0.0000 0.2448 0.0000
Au 0.5000 0.9807 0.0000

Summary:
Calculated formation energy = -0.627 eV per atom
Final energy = -4.498 eV/atom



18.
Below is a geometry-optimized Y2Ga3Au2 structure, with properties calculated at the GGA-PBE level.

Cell: 4.3759 5.7352 6.7048 Å, 111.49 90.00 112.43°
Fractional coordinates of all 7 atoms:
Ga 0.4044 0.8089 0.5716
Au 0.8445 0.6891 0.7551
Y 0.1469 0.2939 0.7770
Y 0.8531 0.7061 0.2230
Ga 0.5956 0.1911 0.4284
Ga 0.5000 0.0000 0.0000
Au 0.1555 0.3109 0.2449

Summary:
Calculated formation energy = -0.682 eV per atom
Excess energy over the best structure of this formula in the dataset = 0 kJ/mol of formula units
Final energy = -4.763 eV/atom



19.
Below is a geometry-optimized Y4GaAu2 structure, with properties calculated at the GGA-PBE level.

Cell: 5.0599 5.0599 8.6936 Å, 73.08 73.08 60.00°
Fractional coordinates of all 7 atoms:
Y 0.3774 0.3774 0.8677
Y 0.8741 0.8741 0.3777
Y 0.1259 0.1259 0.6223
Y 0.6226 0.6226 0.1323
Au 0.2495 0.2495 0.2516
Ga 0.0000 0.0000 0.0000
Au 0.7505 0.7505 0.7484

Summary:
Calculated formation energy = -0.605 eV per atom
Final energy = -5.668 eV/atom



20.
Below is a geometry-optimized YGa2Au structure, with properties calculated at the GGA-PBE level.

Cell: 7.6480 7.6480 6.1771 Å, 51.75 51.75 90.00°
Fractional coordinates of all 8 atoms:
Au 0.7500 0.2500 0.5000
Au 0.0000 0.0000 0.0000
Ga 0.3750 0.3354 0.7500
Y 0.2500 0.7500 0.5000
Ga 0.8750 0.9146 0.7500
Y 0.5000 0.5000 0.0000
Ga 0.6646 0.1250 0.2500
Ga 0.0854 0.6250 0.2500

Summary:
Calculated formation energy = -0.453 eV per atom
Final energy = -4.402 eV/atom



| no. | V (A^3/atom) | M_tot (μB/f.u.) |
| --- | --- | --- |
| 1 | 20.22 | 0.0 |
| 2 | 22.89 | 0.0 |
| 3 | 20.33 | 0.0 |
| 4 | 19.92 | 0.0 |
| 5 | 19.33 | 0.0 |
| 6 | 33.09 | 0.0 |
| 7 | 19.22 | 0.0 |
| 8 | 23.62 | 0.0 |
| 9 | 20.03 | 0.5 |
| 10 | 19.68 | 0.0 |
| 11 | 19.60 | 0.0 |
| 12 | 24.00 | 0.0 |
| 13 | 20.12 | 0.0 |
| 14 | 22.88 | 0.0 |
| 15 | 33.00 | 0.0 |
| 16 | 19.51 | 0.0 |
| 17 | 19.89 | 0.0 |
| 18 | 20.40 | 0.0 |
| 19 | 25.94 | 0.0 |
| 20 | 21.83 | 0.0 |